SmPaH3 PBE optimized geometry; VASP energy = -4.966 eV/atom; space-group type = Pm-3m, No. 221
1.0
-3.8652 0.7511 1.3604
-0.1378 -3.7982 1.7057
1.5479 1.5376 3.5489
Pa H Sm
1 3 1
direct
0.0000 0.0000 0.0000
0.5000 0.0000 0.0000
0.0000 0.5000 0.0000
0.0000 0.0000 0.5000
0.5000 0.5000 0.5000



Er5InIr PBE optimized geometry; VASP energy = -5.202 eV/atom; space-group type = C2/c, No. 15; energy of formation = -286 meV/atom
1.0
6.4295 0.3956 -0.0759
2.4149 5.9719 -0.0759
3.1407 2.2611 10.5851
Er Ir In
10 2 2
direct
0.5992 0.9572 0.6387
0.5380 0.2105 0.0460
0.2105 0.5380 0.5460
0.7895 0.4620 0.4540
0.4008 0.0428 0.3613
0.9572 0.5992 0.1387
0.0428 0.4008 0.8613
0.0210 0.9790 0.7500
0.9790 0.0210 0.2500
0.4620 0.7895 0.9540
0.0000 0.0000 0.0000
0.0000 0.0000 0.5000
0.5351 0.4649 0.7500
0.4649 0.5351 0.2500



In order of appearance, V = 72.3 398.3 Å³ per cell.
In order of appearance, calculated density = 8.8 9.5 Mg/m³.
In order of appearance, DOS at the Fermi energy = 3.91 7.78 states/eV/f.u..